1.
# YRe

Crystalline YRe at its relaxed geometry (GGA-PBE, the Alexandria database).

Lattice parameters (Å, degrees): 5.5456 14.4375 8.7663 90.00 90.00 90.00
Sites, in units of the cell vectors:
Y1 0.0000 0.0000 0.6672
Y2 0.0000 0.0000 0.3328
Y3 0.2500 0.7500 0.5828
Y4 0.2500 0.7500 0.9172
Y5 0.0000 0.5000 0.1672
Y6 0.0000 0.5000 0.8328
Y7 0.2500 0.2500 0.0828
Y8 0.2500 0.2500 0.4172
Y9 0.5000 0.0000 0.1672
Y10 0.5000 0.0000 0.8328
Y11 0.7500 0.7500 0.0828
Y12 0.7500 0.7500 0.4172
Y13 0.5000 0.5000 0.6672
Y14 0.5000 0.5000 0.3328
Y15 0.7500 0.2500 0.5828
Y16 0.7500 0.2500 0.9172
Re1 0.0000 0.0827 0.0000
Re2 0.0000 0.9173 0.0000
Re3 0.2500 0.6673 0.2500
Re4 0.2500 0.8327 0.2500
Re5 0.0000 0.5827 0.5000
Re6 0.0000 0.4173 0.5000
Re7 0.2500 0.1673 0.7500
Re8 0.2500 0.3327 0.7500
Re9 0.5000 0.0827 0.5000
Re10 0.5000 0.9173 0.5000
Re11 0.7500 0.6673 0.7500
Re12 0.7500 0.8327 0.7500
Re13 0.5000 0.5827 0.0000
Re14 0.5000 0.4173 0.0000
Re15 0.7500 0.1673 0.2500
Re16 0.7500 0.3327 0.2500

The calculation puts the calculated formation energy at 0.292 eV per atom. The total magnetization comes out at 0.000 μB per formula unit. The total DFT energy (no corrections) is -293.2 eV/cell. The space-group type is No. 70. The density of states at the Fermi level comes out at 0.72 states/eV per atom. As for the crystal system: orthorhombic.

***

2.
# Pm8Pt3SI4

Crystalline Pm8Pt3SI4 at its relaxed geometry (GGA-PBE, the Alexandria database).

Lattice parameters (Å, degrees): 8.5159 9.2774 8.5153 117.33 120.00 90.00
Sites, in units of the cell vectors:
Pm1 0.2326 0.6906 0.9582
Pm2 0.2326 0.6907 0.4651
Pm3 0.2723 0.3171 0.5447
Pm4 0.7256 0.6906 0.9582
Pm5 0.2744 0.3094 0.0418
Pm6 0.7277 0.6829 0.4553
Pm7 0.7674 0.3093 0.5349
Pm8 0.7674 0.3094 0.0418
Pt1 0.5000 0.5000 0.0000
Pt2 0.5000 0.5000 0.5000
Pt3 0.0000 0.5000 0.5000
S1 0.0000 0.5000 0.0000
I1 0.5000 0.0000 0.0000
I2 0.5000 0.0000 0.5000
I3 0.0000 0.0000 0.0000
I4 0.0000 0.0000 0.5000

The total magnetization comes out at 0.000 μB per formula unit. The uncorrected formation energy comes out at -1.175 eV/atom. The total DFT energy (no corrections) is -85.3 eV/cell. The space-group type is No. 166. The density of states at the Fermi level comes out at 0.87 states/eV per atom. As for the crystal system: trigonal.

***

3.
# SiW4

Crystalline SiW4 at its relaxed geometry (GGA-PBE, the Alexandria database).

Lattice parameters (Å, degrees): 5.1528 5.1528 5.1528 95.59 95.59 143.62
Sites, in units of the cell vectors:
Si1 0.0000 0.0000 0.0000
W1 0.7998 0.3973 0.1970
W2 0.3973 0.2002 0.5975
W3 0.2002 0.6027 0.8030
W4 0.6027 0.7998 0.4025

The total magnetization comes out at 0.000 μB per formula unit. The uncorrected formation energy comes out at 0.009 eV/atom. The total DFT energy (no corrections) is -57.2 eV/cell. The space-group type is No. 87. The density of states at the Fermi level comes out at 0.27 states/eV per atom. The energy above the lowest structure with this stoichiometry comes out at 0 meV per atom. As for the crystal system: tetragonal.

***

4.
# LaZnSb

Crystalline LaZnSb at its relaxed geometry (GGA-PBE, the Alexandria database).

Lattice parameters (Å, degrees): 6.2692 6.0417 3.8575 74.98 68.56 36.46
Sites, in units of the cell vectors:
La1 0.0026 0.0026 0.9974
Sb1 0.3125 0.3125 0.6875
Zn1 0.6848 0.6848 0.3152

The total magnetization comes out at 0.000 μB per formula unit. The uncorrected formation energy comes out at -0.492 eV/atom. The total DFT energy (no corrections) is -11.8 eV/cell. The space-group type is No. 42. The density of states at the Fermi level comes out at 0.40 states/eV per atom. As for the crystal system: orthorhombic.

***

Q: Which V values were calculated for the entries above? A: 702; 494; 77; 81, in Å³/cell.